Density functional theory data (PBE with a Hubbard U) for crystalline Na2PaCoO4 at its relaxed geometry.

a b c (Å): 4.593 4.593 6.092
angles (deg): 112.14 112.14 90.01
Each line ends with the local moment (μB).
Atoms (fractional coordinates):
Na 0.187 0.687 0.500  0.00
Na 0.687 0.187 0.500  0.00
Pa 0.937 0.937 0.000  -0.03
Co 0.437 0.437 0.000  1.97
O 0.937 0.437 0.000  0.01
O 0.437 0.937 0.000  0.01
O 0.136 0.136 0.397  0.01
O 0.739 0.739 0.603  0.01

Computed properties:
SG = I4/mmm
E = -6.836 eV per atom
Volume = 109 Å³/cell